Entry 1:
# CuBr2 (PBE, relaxed)
# - E_form (uncorrected) (eV/atom) = -0.236
# - total magnetization (μB per atom) = 0.00
data_CuBr2
_symmetry_space_group_name_H-M 'I 41/a m d'
_symmetry_Int_Tables_number 141
_cell_length_a 5.424
_cell_length_b 5.424
_cell_length_c 10.592
_cell_angle_alpha 90.00
_cell_angle_beta 90.00
_cell_angle_gamma 90.00
loop_
_symmetry_equiv_pos_as_xyz
'x,y,z'
'-x,-y,-z'
'-y+1/4,x+3/4,z+1/4'
'y+1/4,-x+3/4,-z+1/4'
'-x+1/2,-y,z+1/2'
'x+1/2,y,-z+1/2'
'y+1/4,-x+1/4,z+3/4'
'-y+1/4,x+1/4,-z+3/4'
'x,-y,-z'
'-x,y,z'
'-y+1/4,-x+1/4,-z+3/4'
'y+1/4,x+1/4,z+3/4'
'-x+1/2,y,-z+1/2'
'x+1/2,-y,z+1/2'
'y+1/4,x+3/4,-z+1/4'
'-y+1/4,-x+3/4,z+1/4'
'x+1/2,y+1/2,z+1/2'
'-x+1/2,-y+1/2,-z+1/2'
'-y+3/4,x+1/4,z+3/4'
'y+3/4,-x+1/4,-z+3/4'
'-x,-y+1/2,z'
'x,y+1/2,-z'
'y+3/4,-x+3/4,z+1/4'
'-y+3/4,x+3/4,-z+1/4'
'x+1/2,-y+1/2,-z+1/2'
'-x+1/2,y+1/2,z+1/2'
'-y+3/4,-x+3/4,-z+1/4'
'y+3/4,x+3/4,z+1/4'
'-x,y+1/2,-z'
'x,-y+1/2,z'
'y+3/4,x+1/4,-z+3/4'
'-y+3/4,-x+1/4,z+3/4'
loop_
_atom_site_label
_atom_site_fract_x
_atom_site_fract_y
_atom_site_fract_z
_atom_site_occupancy
Cu1 0.000 0.250 0.375 1
Br1 0.000 0.250 0.151 1

---

Entry 2:
# CuBr7 (PBE, relaxed)
# - E_form (uncorrected) (eV/atom) = 0.677
# - total magnetization (μB per atom) = 0.00
data_CuBr7
_symmetry_space_group_name_H-M 'F m -3 m'
_symmetry_Int_Tables_number 225
_symmetry_space_group_name_Hall '-F 4 2 3'
_cell_length_a 9.334
_cell_length_b 9.334
_cell_length_c 9.334
_cell_angle_alpha 90.00
_cell_angle_beta 90.00
_cell_angle_gamma 90.00
loop_
_atom_site_label
_atom_site_fract_x
_atom_site_fract_y
_atom_site_fract_z
_atom_site_occupancy
Cu1 0.000 0.000 0.000 1
Br1 0.000 0.000 0.500 1
Br2 0.000 0.250 0.250 1

---

Entry 3:
# CuBr3 (PBE, relaxed)
# - E_form (uncorrected) (eV/atom) = 0.591
# - total magnetization (μB per atom) = 0.00
data_CuBr3
_symmetry_space_group_name_H-M 'F m -3 m'
_symmetry_Int_Tables_number 225
_symmetry_space_group_name_Hall '-F 4 2 3'
_cell_length_a 7.219
_cell_length_b 7.219
_cell_length_c 7.219
_cell_angle_alpha 90.00
_cell_angle_beta 90.00
_cell_angle_gamma 90.00
loop_
_atom_site_label
_atom_site_fract_x
_atom_site_fract_y
_atom_site_fract_z
_atom_site_occupancy
Cu1 0.000 0.000 0.000 1
Br1 0.000 0.000 0.500 1
Br2 0.250 0.250 0.250 1

---

Entry 4:
# Cu5Br (PBE, relaxed)
# - E_form (uncorrected) (eV/atom) = 0.266
# - total magnetization (μB per atom) = 0.00
# - energy above the most stable polymorph in this dataset (meV/atom) = 84
data_Cu5Br
_symmetry_space_group_name_H-M 'C m m m'
_symmetry_Int_Tables_number 65
_symmetry_space_group_name_Hall '-C 2 2'
_cell_length_a 3.802
_cell_length_b 12.074
_cell_length_c 3.684
_cell_angle_alpha 90.00
_cell_angle_beta 90.00
_cell_angle_gamma 90.00
loop_
_atom_site_label
_atom_site_fract_x
_atom_site_fract_y
_atom_site_fract_z
_atom_site_occupancy
Cu1 0.000 0.000 0.000 1
Cu2 0.000 0.177 0.500 1
Cu3 0.000 0.317 0.000 1
Br1 0.000 0.500 0.500 1

---

Entry 5:
# CuBr2 (PBE, relaxed)
# - E_form (uncorrected) (eV/atom) = 0.136
# - total magnetization (μB per atom) = 0.00
data_CuBr2
_symmetry_space_group_name_H-M 'I m m m'
_symmetry_Int_Tables_number 71
_symmetry_space_group_name_Hall '-I 2 2'
_cell_length_a 2.903
_cell_length_b 3.583
_cell_length_c 14.985
_cell_angle_alpha 90.00
_cell_angle_beta 90.00
_cell_angle_gamma 90.00
loop_
_atom_site_label
_atom_site_fract_x
_atom_site_fract_y
_atom_site_fract_z
_atom_site_occupancy
Cu1 0.000 0.000 0.000 1
Br1 0.000 0.000 0.385 1

---

Entry 6:
# CuBr3 (PBE, relaxed)
# - E_form (uncorrected) (eV/atom) = 0.060
# - total magnetization (μB per atom) = 0.00
data_CuBr3
_symmetry_space_group_name_H-M 'C m m m'
_symmetry_Int_Tables_number 65
_symmetry_space_group_name_Hall '-C 2 2'
_cell_length_a 4.948
_cell_length_b 10.231
_cell_length_c 4.169
_cell_angle_alpha 90.00
_cell_angle_beta 90.00
_cell_angle_gamma 90.00
loop_
_atom_site_label
_atom_site_fract_x
_atom_site_fract_y
_atom_site_fract_z
_atom_site_occupancy
Cu1 0.000 0.000 0.000 1
Br1 0.000 0.210 0.500 1
Br2 0.000 0.500 0.000 1